VASP calculation (PBE) on an optimized crystal structure of Cd6Ag8Au.

Computed properties:
**Size of the total moment**: 0.00 μB/cell
**Space-group type**: R-3, No. 148
**DFT formation energy**: -0.0125 eV/atom
**Excess energy over the best structure of this formula in the dataset**: 10 meV per atom

Unit cell a=7.4828 b=7.4828 c=7.4905 alpha=60.03 beta=60.03 gamma=60.00
Sites, in units of the cell vectors:
1 Cd 0.4587 0.9374 0.8322
2 Cd 0.0626 0.2283 0.1678
3 Cd 0.2283 0.5413 0.1678
4 Cd 0.7717 0.4587 0.8322
5 Cd 0.9374 0.7717 0.8322
6 Cd 0.5413 0.0626 0.1678
7 Ag 0.5975 0.3160 0.3156
8 Ag 0.6840 0.2290 0.6844
9 Ag 0.2290 0.4025 0.6844
10 Ag 0.8456 0.8456 0.4633
11 Ag 0.1544 0.1544 0.5367
12 Ag 0.7710 0.5975 0.3156
13 Ag 0.3160 0.7710 0.3156
14 Ag 0.4025 0.6840 0.6844
15 Au 0.0000 0.0000 0.0000



VASP calculation (PBE) on an optimized crystal structure of RhPbN2F.

Computed properties:
**Size of the total moment**: 1.67 μB/cell
**Space-group type**: P4/mmm, No. 123
**Excess energy over the best structure of this formula in the dataset**: 1172 meV per atom
**Formation energy without anion corrections**: 1.435 eV per atom

Unit cell a=4.3295 b=4.3295 c=4.2716 alpha=90.00 beta=90.00 gamma=90.00
Sites, in units of the cell vectors:
1 Pb 0.0000 0.0000 0.0000
2 N 0.0000 0.5000 0.0000
3 N 0.5000 0.0000 0.0000
4 Rh 0.5000 0.5000 0.5000
5 F 0.0000 0.0000 0.5000



VASP calculation (PBE) on an optimized crystal structure of LaErTl4.

Computed properties:
**Size of the total moment**: 0.00 μB/cell
**Space-group type**: P-3m1, No. 164
**DFT formation energy**: -0.2648 eV/atom

Unit cell a=5.1125 b=5.1125 c=7.6710 alpha=90.01 beta=90.00 gamma=60.00
Sites, in units of the cell vectors:
1 La 0.7513 0.2472 0.9981
2 Er 0.7513 0.2473 0.4981
3 Tl 0.4180 0.9141 0.3305
4 Tl 0.4179 0.9138 0.7977
5 Tl 0.0845 0.5805 0.6658
6 Tl 0.0847 0.5807 0.1985



VASP calculation (PBE) on an optimized crystal structure of Tm2CdHg9.

Computed properties:
**Size of the total moment**: 0.00 μB/cell
**Space-group type**: P4/mmm, No. 123
**DFT formation energy**: -0.1828 eV/atom

Unit cell a=4.6748 b=4.6748 c=13.0863 alpha=90.00 beta=90.00 gamma=90.00
Sites, in units of the cell vectors:
1 Tm 0.0000 0.0000 0.3265
2 Tm 0.0000 0.0000 0.6735
3 Cd 0.0000 0.0000 0.0000
4 Hg 0.5000 0.5000 0.0000
5 Hg 0.5000 0.5000 0.3358
6 Hg 0.5000 0.5000 0.6642
7 Hg 0.5000 0.0000 0.1649
8 Hg 0.5000 0.0000 0.5000
9 Hg 0.5000 0.0000 0.8351
10 Hg 0.0000 0.5000 0.1649
11 Hg 0.0000 0.5000 0.5000
12 Hg 0.0000 0.5000 0.8351



VASP calculation (PBE) on an optimized crystal structure of Al2CoNi2.

Computed properties:
**Size of the total moment**: 2.72 μB/cell
**Space-group type**: P4/mbm, No. 127
**DFT formation energy**: -0.3324 eV/atom
**Excess energy over the best structure of this formula in the dataset**: 59 meV per atom

Unit cell a=6.8484 b=6.8484 c=2.6350 alpha=90.00 beta=90.00 gamma=90.00
Sites, in units of the cell vectors:
1 Ni 0.3709 0.8709 0.0000
2 Ni 0.8709 0.6291 0.0000
3 Ni 0.6291 0.1291 0.0000
4 Ni 0.1291 0.3709 0.0000
5 Co 0.0000 0.0000 0.0000
6 Co 0.5000 0.5000 0.0000
7 Al 0.1692 0.6692 0.5000
8 Al 0.6692 0.8308 0.5000
9 Al 0.8308 0.3308 0.5000
10 Al 0.3308 0.1692 0.5000



VASP calculation (PBE) on an optimized crystal structure of YTc2Pb.

Computed properties:
**Size of the total moment**: 1.32 μB/cell
**Space-group type**: I-4m2, No. 119
**DFT formation energy**: 0.3931 eV/atom

Unit cell a=5.3887 b=5.3887 c=5.3887 alpha=134.46 beta=134.46 gamma=66.37
Sites, in units of the cell vectors:
1 Pb 0.7500 0.2500 0.5000
2 Tc 0.0000 0.0000 0.0000
3 Tc 0.2500 0.7500 0.5000
4 Y 0.5000 0.5000 0.0000



VASP calculation (PBE) on an optimized crystal structure of Ba8Ga2Pt.

Computed properties:
**Size of the total moment**: 0.00 μB/cell
**Space-group type**: C2/m, No. 12
**DFT formation energy**: -0.2605 eV/atom
**Excess energy over the best structure of this formula in the dataset**: 31 meV per atom

Unit cell a=5.7623 b=7.9576 c=10.9472 alpha=104.29 beta=105.26 gamma=90.00
Sites, in units of the cell vectors:
1 Ba 0.4081 0.5853 0.8162
2 Ba 0.6594 0.9592 0.3188
3 Ba 0.7869 0.6869 0.5739
4 Ba 0.9643 0.1915 0.9286
5 Ba 0.2131 0.3131 0.4261
6 Ba 0.3406 0.0408 0.6812
7 Ba 0.5919 0.4147 0.1838
8 Ba 0.0357 0.8085 0.0714
9 Ga 0.8126 0.2816 0.6252
10 Ga 0.1874 0.7184 0.3748
11 Pt 0.5000 0.0000 0.0000



VASP calculation (PBE) on an optimized crystal structure of Ac3TlPb5.

Computed properties:
**Size of the total moment**: 0.00 μB/cell
**Space-group type**: P6_3/mcm, No. 193
**DFT formation energy**: -0.3610 eV/atom

Unit cell a=6.9845 b=10.1015 c=10.1015 alpha=120.00 beta=90.00 gamma=90.00
Sites, in units of the cell vectors:
1 Ac 0.7500 0.3643 0.0000
2 Ac 0.7500 0.6357 0.6357
3 Ac 0.7500 0.0000 0.3643
4 Ac 0.2500 0.6357 0.0000
5 Ac 0.2500 0.3643 0.3643
6 Ac 0.2500 0.0000 0.6357
7 Tl 0.0000 0.0000 0.0000
8 Tl 0.5000 0.0000 0.0000
9 Pb 0.0000 0.3333 0.6667
10 Pb 0.5000 0.6667 0.3333
11 Pb 0.0000 0.6667 0.3333
12 Pb 0.5000 0.3333 0.6667
13 Pb 0.7500 0.7001 0.0000
14 Pb 0.7500 0.2999 0.2999
15 Pb 0.7500 0.0000 0.7001
16 Pb 0.2500 0.2999 0.0000
17 Pb 0.2500 0.7001 0.7001
18 Pb 0.2500 0.0000 0.2999



VASP calculation (PBE) on an optimized crystal structure of CrBTeI2.

Computed properties:
**Size of the total moment**: 3.12 μB/cell
**Space-group type**: P4/mmm, No. 123
**Excess energy over the best structure of this formula in the dataset**: 95 meV per atom
**Formation energy without anion corrections**: 1.041 eV per atom

Unit cell a=5.5508 b=5.5508 c=5.2301 alpha=90.00 beta=90.00 gamma=90.00
Sites, in units of the cell vectors:
1 I 0.0000 0.5000 0.0000
2 I 0.5000 0.0000 0.0000
3 Cr 0.0000 0.0000 0.0000
4 B 0.5000 0.5000 0.5000
5 Te 0.0000 0.0000 0.5000



VASP calculation (PBE) on an optimized crystal structure of TeOs2Br.

Computed properties:
**Size of the total moment**: 0.00 μB/cell
**Space-group type**: C2/m, No. 12
**Excess energy over the best structure of this formula in the dataset**: 601 meV per atom
**Formation energy without anion corrections**: 0.921 eV per atom

Unit cell a=4.9701 b=4.9701 c=8.2495 alpha=53.32 beta=53.32 gamma=36.89
Sites, in units of the cell vectors:
1 Te 0.7500 0.7500 0.7500
2 Os 0.9597 0.9597 0.8965
3 Os 0.5403 0.5403 0.6035
4 Br 0.2500 0.2500 0.2500



VASP calculation (PBE) on an optimized crystal structure of Tb3AlZn3.

Computed properties:
**Size of the total moment**: 0.00 μB/cell
**Space-group type**: C2/m, No. 12
**DFT formation energy**: -0.3407 eV/atom

Unit cell a=4.4007 b=5.7142 c=13.9048 alpha=84.57 beta=80.90 gamma=67.35
Sites, in units of the cell vectors:
1 Tb 0.5381 0.3080 0.6158
2 Tb 0.4619 0.6920 0.3842
3 Tb 0.2461 0.2811 0.2267
4 Tb 0.7539 0.7189 0.7733
5 Tb 0.3946 0.2897 0.9211
6 Tb 0.6054 0.7103 0.0789
7 Al 0.7510 0.1024 0.3956
8 Al 0.2490 0.8976 0.6044
9 Zn 0.8706 0.7184 0.5404
10 Zn 0.1294 0.2816 0.4596
11 Zn 0.1074 0.8604 0.9247
12 Zn 0.8926 0.1396 0.0753
13 Zn 0.9548 0.8564 0.2340
14 Zn 0.0452 0.1436 0.7660



VASP calculation (PBE) on an optimized crystal structure of TmPaPN4.

Computed properties:
**Size of the total moment**: 0.00 μB/cell
**Space-group type**: Imma, No. 74
**Formation energy without anion corrections**: -0.947 eV per atom

Unit cell a=6.2958 b=6.3234 c=6.3234 alpha=61.40 beta=60.14 gamma=60.14
Sites, in units of the cell vectors:
1 Tm 0.5000 0.0000 0.5000
2 Tm 0.0000 0.0000 0.5000
3 Pa 0.0000 0.0000 0.0000
4 Pa 0.0000 0.5000 0.5000
5 P 0.6318 0.6182 0.1182
6 P 0.3682 0.3818 0.8818
7 N 0.7450 0.7201 0.7899
8 N 0.2550 0.7101 0.7799
9 N 0.7450 0.2899 0.2201
10 N 0.2550 0.2799 0.2101
11 N 0.3003 0.7300 0.2300
12 N 0.7397 0.7300 0.2300
13 N 0.2603 0.2700 0.7700
14 N 0.6997 0.2700 0.7700



- Number 10 is which compound?
  TeOs2Br



Please write out number 11 again, unchanged.
VASP calculation (PBE) on an optimized crystal structure of Tb3AlZn3.

Computed properties:
**Size of the total moment**: 0.00 μB/cell
**Space-group type**: C2/m, No. 12
**DFT formation energy**: -0.3407 eV/atom

Unit cell a=4.4007 b=5.7142 c=13.9048 alpha=84.57 beta=80.90 gamma=67.35
Sites, in units of the cell vectors:
1 Tb 0.5381 0.3080 0.6158
2 Tb 0.4619 0.6920 0.3842
3 Tb 0.2461 0.2811 0.2267
4 Tb 0.7539 0.7189 0.7733
5 Tb 0.3946 0.2897 0.9211
6 Tb 0.6054 0.7103 0.0789
7 Al 0.7510 0.1024 0.3956
8 Al 0.2490 0.8976 0.6044
9 Zn 0.8706 0.7184 0.5404
10 Zn 0.1294 0.2816 0.4596
11 Zn 0.1074 0.8604 0.9247
12 Zn 0.8926 0.1396 0.0753
13 Zn 0.9548 0.8564 0.2340
14 Zn 0.0452 0.1436 0.7660